## Dy3YSc3 (PBE)

Data for crystalline Dy3YSc3 at its relaxed geometry.

Output
**Crystal system**: hexagonal
**Raw total energy**: -5.5819 eV/atom
**E above lowest polymorph**: 0 meV per atom
**DOS(E_F)**: 29.07 states/eV/cell
**Density**: 5.87 g cm⁻³
**DFT formation energy**: 0.027 eV per atom

a b c (Å): 9.2340 9.2340 5.4522
angles (deg): 90.00 90.00 120.00
Space group P6_3/m (No. 176)
Symmetry-distinct sites (fractional):
Dy1 0.0450 0.8011 0.2500 (multiplicity 6)
Y1 0.3333 0.6667 0.2500 (multiplicity 2)
Sc1 0.0947 0.6148 0.7500 (multiplicity 6)